Entry 1:
Material: EuGd3Fe
Method: DFT, PBE
State: relaxed Values from VASP.

```
&SYSTEM
  ibrav = 0, nat = 5, ntyp = 3
/
ATOMIC_SPECIES
Eu 151.96 Eu.upf
Gd 157.25 Gd.upf
Fe 55.84 Fe.upf
CELL_PARAMETERS angstrom
5.381 0.000 0.000
0.000 5.381 0.000
0.000 0.000 5.381
ATOMIC_POSITIONS angstrom
Eu 0.000 0.000 0.000
Gd 0.000 2.690 2.690
Gd 2.690 0.000 2.690
Gd 2.690 2.690 0.000
Fe 2.690 2.690 2.690
```

Summary:
ΔH_f (0 K)   0.05 eV/atom
Calculated density   7.2 g/cm3



Entry 2:
Material: ZnNiAg2
Method: DFT, PBE
State: relaxed Values from VASP.

```
&SYSTEM
  ibrav = 0, nat = 4, ntyp = 3
/
ATOMIC_SPECIES
Zn 65.41 Zn.upf
Ni 58.69 Ni.upf
Ag 107.87 Ag.upf
CELL_PARAMETERS angstrom
4.585 -1.423 0.000
4.585 1.423 0.000
-0.884 0.000 4.693
ATOMIC_POSITIONS angstrom
Zn 0.000 0.000 0.000
Ni 4.143 0.000 2.347
Ag 1.601 0.000 3.503
Ag 6.686 0.000 1.190
```

Summary:
ΔH_f (0 K)   0.08 eV/atom
Calculated density   9.2 g/cm3



Entry 3:
Material: BaOs2Pd
Method: DFT, PBE
State: relaxed Values from VASP.

```
&SYSTEM
  ibrav = 0, nat = 4, ntyp = 3
/
ATOMIC_SPECIES
Ba 137.33 Ba.upf
Os 190.23 Os.upf
Pd 106.42 Pd.upf
CELL_PARAMETERS angstrom
0.000 3.382 3.382
3.382 0.000 3.382
3.382 3.382 0.000
ATOMIC_POSITIONS angstrom
Ba 0.000 0.000 0.000
Os 1.691 1.691 1.691
Os 5.073 5.073 5.073
Pd 3.382 3.382 3.382
```

Summary:
ΔH_f (0 K)   1.56 eV/atom
Calculated density   13.4 g/cm3
Energy above the lowest structure with this stoichiometry   17.33 kcal/mol of atoms